A relaxed structure of HoTmCo2B2N2. Source: OQMD, functional PBE-GGA.

The structure in extended XYZ format:
```
8
Lattice="-1.9208 -1.2594 -2.5715 -0.5640 -2.8695 1.8266 -6.0425 3.0957 2.9974" Properties=species:S:1:pos:R:3 pbc="T T T"
B -2.1056 1.0787 1.0445
B -5.1810 -0.0466 1.5813
Co -3.9795 0.9171 0.2119
Co -3.3011 0.1120 2.4109
Ho -5.0317 2.5778 2.4960
N -0.8777 0.4497 0.4354
N -6.4147 0.5854 2.1933
Tm -2.2485 -1.5490 0.1266
```

Calculated values
**Uncorrected energy**: -7.782 eV per atom